No. 1
Entry from the Alexandria database: a relaxed structure of CaAgW2 (PBE).

Properties
Relative energy among the computed polymorphs (meV per atom): 153
Energy (eV/atom): -7.054
DOS(E_F) (states/eV per atom): 0.7341
Calculated volume (Å³ per cell): 78.6
Symmetry: Pmm2
Calculated formation energy (meV/atom): 635.9

Cell: 2.774 4.159 6.817 Å, 90.00 90.00 90.00°
Positions (direct):
Ca1 0.500 0.500 0.745
Ag1 0.000 0.000 0.476
W1 0.000 0.000 0.049
W2 0.500 0.500 0.230

No. 2
Entry from the Alexandria database: a relaxed structure of Cs2KPmF6 (PBE).

Properties
Raw formation energy (eV per atom): -3.306
Energy (eV/atom): -5.184
DOS(E_F) (states/eV per atom): 0.0000
Calculated volume (Å³ per cell): 229.5
Symmetry: Fm-3m

Cell: 6.872 6.872 6.872 Å, 60.00 60.00 90.00°
Positions (direct):
Cs1 0.250 0.750 0.500
Cs2 0.750 0.250 0.500
K1 0.000 0.000 0.000
Pm1 0.500 0.500 0.000
F1 0.267 0.733 0.000
F2 0.733 0.733 0.000
F3 0.267 0.267 0.465
F4 0.733 0.267 0.000
F5 0.267 0.267 0.000
F6 0.733 0.733 0.535

No. 3
Entry from the Alexandria database: a relaxed structure of TeRu2Se (PBE).

Properties
Relative energy among the computed polymorphs (meV per atom): 626
Raw formation energy (eV per atom): 0.694
Energy (eV/atom): -5.601
DOS(E_F) (states/eV per atom): 1.2555
Calculated volume (Å³ per cell): 73.0
Symmetry: Cmmm

Cell: 3.173 3.173 8.531 Å, 90.00 90.00 121.72°
Positions (direct):
Ru1 0.000 0.000 0.028
Ru2 0.000 0.000 0.472
Se1 0.500 0.500 0.250
Te1 0.500 0.500 0.750

No. 4
Entry from the Alexandria database: a relaxed structure of PmDy2Ni9 (PBE).

Properties
Energy (eV/atom): -5.893
DOS(E_F) (states/eV per atom): 1.2802
Calculated volume (Å³ per cell): 175.1
Symmetry: R-3m
Calculated formation energy (meV/atom): -394.4

Cell: 4.991 4.991 8.613 Å, 73.16 73.16 60.00°
Last column: magnetic moment on the atom in μB.
Positions (direct):
Pm1 0.000 0.000 0.000  -0.02
Dy1 0.860 0.860 0.419  -0.03
Dy2 0.140 0.140 0.581  -0.03
Ni1 0.667 0.667 0.999  0.13
Ni2 0.333 0.333 0.001  0.13
Ni3 0.500 0.500 0.500  0.07
Ni4 0.417 0.417 0.248  0.10
Ni5 0.918 0.417 0.248  0.10
Ni6 0.417 0.918 0.248  0.10
Ni7 0.583 0.583 0.752  0.10
Ni8 0.583 0.082 0.752  0.10
Ni9 0.082 0.583 0.752  0.10

No. 5
Entry from the Alexandria database: a relaxed structure of MnHg2 (PBE).

Properties
Energy (eV/atom): -2.908
DOS(E_F) (states/eV per atom): 0.5385
Calculated volume (Å³ per cell): 121.8
Symmetry: P6_3/mmc
Calculated formation energy (meV/atom): 349.4

Cell: 4.878 4.878 5.911 Å, 90.00 90.00 120.00°
Last column: magnetic moment on the atom in μB.
Positions (direct):
Mn1 0.333 0.667 0.750  3.92
Mn2 0.667 0.333 0.250  3.92
Hg1 0.000 0.000 0.000  -0.02
Hg2 0.000 0.000 0.500  -0.02
Hg3 0.333 0.667 0.250  -0.02
Hg4 0.667 0.333 0.750  -0.02

No. 6
Entry from the Alexandria database: a relaxed structure of ZrTi2Se (PBE).

Properties
Raw formation energy (eV per atom): -0.699
Energy (eV/atom): -7.654
DOS(E_F) (states/eV per atom): 0.6233
Calculated volume (Å³ per cell): 142.4
Symmetry: Cmcm

Cell: 3.582 5.276 8.008 Å, 90.00 90.00 109.83°
Positions (direct):
Zr1 0.951 0.901 0.250
Zr2 0.049 0.099 0.750
Ti1 0.360 0.720 0.544
Ti2 0.640 0.280 0.456
Ti3 0.360 0.720 0.956
Ti4 0.640 0.280 0.044
Se1 0.766 0.531 0.750
Se2 0.234 0.469 0.250

No. 7
Entry from the Alexandria database: a relaxed structure of BaGeSe2Br (PBE).

Properties
Relative energy among the computed polymorphs (meV per atom): 0
Raw formation energy (eV per atom): -0.982
Energy (eV/atom): -4.019
DOS(E_F) (states/eV per atom): 0.4811
Calculated volume (Å³ per cell): 146.2
Symmetry: P4/mmm

Cell: 5.186 5.186 5.437 Å, 90.00 90.00 90.00°
Positions (direct):
Ge1 0.000 0.000 0.000
Se1 0.000 0.500 0.000
Se2 0.500 0.000 0.000
Ba1 0.500 0.500 0.500
Br1 0.000 0.000 0.500

No. 8
Entry from the Alexandria database: a relaxed structure of Fe3PPd (PBE).

Properties
Relative energy among the computed polymorphs (meV per atom): 0
Energy (eV/atom): -6.916
DOS(E_F) (states/eV per atom): 0.9476
Calculated volume (Å³ per cell): 73.2
Symmetry: Pm-3m
Calculated formation energy (meV/atom): 282.6

Cell: 4.183 4.183 4.183 Å, 90.00 90.00 90.00°
Last column: magnetic moment on the atom in μB.
Positions (direct):
P1 0.000 0.000 0.000  -0.07
Fe1 0.000 0.500 0.000  2.31
Fe2 0.000 0.000 0.500  2.37
Fe3 0.500 0.000 0.000  2.49
Pd1 0.500 0.500 0.500  0.39

No. 9
Entry from the Alexandria database: a relaxed structure of In2FeNi (PBE).

Properties
Energy (eV/atom): -4.710
DOS(E_F) (states/eV per atom): 1.1176
Calculated volume (Å³ per cell): 65.9
Symmetry: I-4m2
Calculated formation energy (meV/atom): 219.7

Cell: 5.201 5.201 5.201 Å, 136.47 136.47 63.25°
Last column: magnetic moment on the atom in μB.
Positions (direct):
Fe1 0.750 0.250 0.500  2.38
In1 0.000 0.000 0.000  -0.06
In2 0.250 0.750 0.500  -0.07
Ni1 0.500 0.500 0.000  0.03

No. 10
Entry from the Alexandria database: a relaxed structure of CaCoAs2Br (PBE).

Properties
Relative energy among the computed polymorphs (meV per atom): 0
Raw formation energy (eV per atom): -0.327
Energy (eV/atom): -4.343
DOS(E_F) (states/eV per atom): 0.7758
Calculated volume (Å³ per cell): 118.1
Symmetry: P4/mmm

Cell: 4.493 4.493 5.849 Å, 90.00 90.00 90.00°
Last column: magnetic moment on the atom in μB.
Positions (direct):
As1 0.000 0.500 0.000  0.08
As2 0.500 0.000 0.000  0.08
Co1 0.000 0.000 0.000  1.15
Ca1 0.500 0.500 0.500  0.04
Br1 0.000 0.000 0.500  0.09

No. 11
Entry from the Alexandria database: a relaxed structure of HoTiCuAu (PBE).

Properties
Energy (eV/atom): -5.235
DOS(E_F) (states/eV per atom): 1.0703
Calculated volume (Å³ per cell): 77.0
Symmetry: F-43m
Calculated formation energy (meV/atom): -273.6

Cell: 4.776 4.776 4.776 Å, 60.00 60.00 60.00°
Last column: magnetic moment on the atom in μB.
Positions (direct):
Au1 0.000 0.000 0.000  0.04
Ho1 0.750 0.750 0.750  0.14
Cu1 0.500 0.500 0.500  0.03
Ti1 0.250 0.250 0.250  1.04

No. 12
Entry from the Alexandria database: a relaxed structure of PrMg2SiN4 (PBE).

Properties
Raw formation energy (eV per atom): -0.857
Energy (eV/atom): -6.694
DOS(E_F) (states/eV per atom): 0.6174
Calculated volume (Å³ per cell): 101.9
Symmetry: I-42m

Cell: 5.403 5.175 5.175 Å, 84.82 58.52 58.52°
Last column: magnetic moment on the atom in μB.
Positions (direct):
Pr1 0.000 0.000 0.000  -0.01
Mg1 0.500 0.750 0.250  0.00
Mg2 0.500 0.250 0.750  0.00
Si1 0.000 0.500 0.500  -0.01
N1 0.611 0.558 0.831  0.18
N2 0.389 0.169 0.442  0.18
N3 0.000 0.442 0.169  0.18
N4 0.000 0.831 0.558  0.18

No. 13
Entry from the Alexandria database: a relaxed structure of DyScAlGa (PBE).

Properties
Energy (eV/atom): -4.904
DOS(E_F) (states/eV per atom): 0.4580
Calculated volume (Å³ per cell): 84.8
Symmetry: F-43m
Calculated formation energy (meV/atom): -477.9

Cell: 4.931 4.931 4.931 Å, 60.00 60.00 60.00°
Positions (direct):
Sc1 0.000 0.000 0.000
Al1 0.750 0.750 0.750
Ga1 0.250 0.250 0.250
Dy1 0.500 0.500 0.500

No. 14
Entry from the Alexandria database: a relaxed structure of Ca5Rh4 (PBE).

Properties
Energy (eV/atom): -4.591
DOS(E_F) (states/eV per atom): 0.4956
Calculated volume (Å³ per cell): 395.1
Symmetry: P6_3/mcm
Calculated formation energy (meV/atom): -211.5

Cell: 8.542 8.542 6.252 Å, 90.00 90.00 120.00°
Positions (direct):
Ca1 0.000 0.729 0.250
Ca2 0.271 0.271 0.250
Ca3 0.729 0.000 0.250
Ca4 0.000 0.271 0.750
Ca5 0.729 0.729 0.750
Ca6 0.271 0.000 0.750
Ca7 0.667 0.333 0.000
Ca8 0.333 0.667 0.500
Ca9 0.333 0.667 0.000
Ca10 0.667 0.333 0.500
Rh1 0.000 0.000 0.000
Rh2 0.000 0.000 0.500
Rh3 0.000 0.387 0.250
Rh4 0.613 0.613 0.250
Rh5 0.387 0.000 0.250
Rh6 0.000 0.613 0.750
Rh7 0.387 0.387 0.750
Rh8 0.613 0.000 0.750

No. 15
Entry from the Alexandria database: a relaxed structure of Pb4SBr6 (PBE).

Properties
Raw formation energy (eV per atom): -0.804
Energy (eV/atom): -3.440
DOS(E_F) (states/eV per atom): 0.0000
Calculated volume (Å³ per cell): 758.1
Symmetry: P4_2/nmc

Cell: 7.355 10.153 10.153 Å, 90.00 90.00 90.00°
Positions (direct):
Pb1 0.320 0.000 0.250
Pb2 0.820 0.750 0.500
Pb3 0.820 0.250 0.500
Pb4 0.320 0.000 0.750
Pb5 0.180 0.500 0.750
Pb6 0.680 0.250 0.000
Pb7 0.680 0.750 0.000
Pb8 0.180 0.500 0.250
S1 0.000 0.500 0.500
S2 0.500 0.000 0.000
Br1 0.500 0.709 0.291
Br2 0.500 0.291 0.291
Br3 0.074 0.000 0.500
Br4 0.574 0.000 0.500
Br5 0.500 0.291 0.709
Br6 0.500 0.709 0.709
Br7 0.000 0.791 0.791
Br8 0.000 0.209 0.791
Br9 0.926 0.500 0.000
Br10 0.426 0.500 0.000
Br11 0.000 0.791 0.209
Br12 0.000 0.209 0.209

No. 16
Entry from the Alexandria database: a relaxed structure of PmZrIrOs (PBE).

Properties
Energy (eV/atom): -8.708
DOS(E_F) (states/eV per atom): 0.5634
Calculated volume (Å³ per cell): 78.6
Symmetry: F-43m
Calculated formation energy (meV/atom): -360.4

Cell: 4.808 4.808 4.808 Å, 60.00 60.00 60.00°
Positions (direct):
Ir1 0.000 0.000 0.000
Os1 0.500 0.500 0.500
Zr1 0.750 0.750 0.750
Pm1 0.250 0.250 0.250

No. 17
Entry from the Alexandria database: a relaxed structure of CeDyGe (PBE).

Properties
Energy (eV/atom): -5.367
DOS(E_F) (states/eV per atom): 2.6260
Calculated volume (Å³ per cell): 80.9
Symmetry: P3m1
Calculated formation energy (meV/atom): -315.9

Cell: 4.129 4.757 4.757 Å, 120.00 90.00 90.00°
Last column: magnetic moment on the atom in μB.
Positions (direct):
Ge1 0.404 0.333 0.667  -0.03
Ce1 0.030 0.000 0.000  0.87
Dy1 0.566 0.667 0.333  0.14

No. 18
Entry from the Alexandria database: a relaxed structure of YZnTc2Mo (PBE).

Properties
Energy (eV/atom): -6.690
DOS(E_F) (states/eV per atom): 1.3956
Calculated volume (Å³ per cell): 99.3
Symmetry: P4/mmm
Calculated formation energy (meV/atom): 1169.7

Cell: 4.635 4.622 4.635 Å, 90.00 90.00 90.00°
Positions (direct):
Y1 0.500 0.500 0.500
Zn1 0.000 0.000 0.000
Mo1 0.000 0.500 0.000
Tc1 0.000 0.000 0.500
Tc2 0.500 0.000 0.000

No. 19
Entry from the Alexandria database: a relaxed structure of Al4Mo2Rh (PBE).

Properties
Energy (eV/atom): -5.868
DOS(E_F) (states/eV per atom): 0.8435
Calculated volume (Å³ per cell): 137.3
Symmetry: I4/mmm
Calculated formation energy (meV/atom): 415.8

Cell: 4.649 4.649 7.152 Å, 71.03 71.03 90.00°
Last column: magnetic moment on the atom in μB.
Positions (direct):
Mo1 0.598 0.598 0.804  0.35
Mo2 0.402 0.402 0.196  0.35
Rh1 0.000 0.000 0.000  0.10
Al1 0.808 0.808 0.384  0.00
Al2 0.192 0.192 0.616  0.00
Al3 0.000 0.500 0.000  -0.01
Al4 0.500 0.000 0.000  -0.01

No. 20
Entry from the Alexandria database: a relaxed structure of BiPd2C (PBE).

Properties
Relative energy among the computed polymorphs (meV per atom): 0
Energy (eV/atom): -5.359
DOS(E_F) (states/eV per atom): 0.4161
Calculated volume (Å³ per cell): 155.1
Symmetry: I-42d
Calculated formation energy (meV/atom): 513.9

Cell: 5.131 5.131 6.918 Å, 68.23 68.23 90.00°
Positions (direct):
C1 0.500 0.500 0.000
C2 0.250 0.750 0.500
Bi1 0.000 0.000 0.000
Bi2 0.750 0.250 0.500
Pd1 0.485 0.125 0.250
Pd2 0.265 0.625 0.250
Pd3 0.375 0.515 0.750
Pd4 0.875 0.735 0.750